Computed, not measured: crystalline Li2Ga2CoO6 at its relaxed geometry at the PBE+U level of DFT.

Unit cell a=5.046 b=5.046 c=5.134 alpha=98.36 beta=98.36 gamma=119.73
Positions (direct):
Li (0.155, 0.845, 0.000)
Li (0.845, 0.155, 0.000)
Ga (0.335, 0.665, 0.500)
Ga (0.665, 0.335, 0.500)
Co (0.000, 0.000, 0.500)
O (0.054, 0.379, 0.711)
O (0.251, 0.251, 0.290)
O (0.379, 0.054, 0.711)
O (0.621, 0.946, 0.289)
O (0.749, 0.749, 0.710)
O (0.946, 0.621, 0.289)

Results
**VASP energy**: -5.680 eV per atom